DFT (PBE) results for an optimized crystal structure of Rb3U3Te8Pt.

The density of states at the Fermi level comes out at 29.22 states/eV per cell. Its total magnetic moment is 7.00 μB/f.u. The raw formation energy comes out at -714 meV/atom. For the density, the calculation gives 6.20 Mg/m³. The calculation puts the total energy at -157.30 eV per cell.

abc: 15.941 8.501 10.271
angles: 90.00 122.70 90.00
Space group C2/m (No. 12)
Asymmetric unit:
Rb (0.000, 0.000, 0.000) x2
Rb (0.250, 0.250, 0.000) x4
U (0.000, 0.500, 0.500) x2
U (0.250, 0.250, 0.500) x4
Te (0.017, 0.217, 0.326) x8
Te (0.198, 0.500, 0.257) x4
Te (0.233, 0.500, 0.705) x4
Pt (0.000, 0.000, 0.500) x2

DFT (PBE) results for an optimized crystal structure of DyEr3Rh.

The density of states at the Fermi level comes out at 7.60 states/eV per cell. Its total magnetic moment is 0.00 μB/f.u. For the density, the calculation gives 8.29 Mg/m³. The calculation puts the total energy at -26.84 eV per cell. Its formation energy is -23.1 kJ per mole of atoms.

abc: 5.356 5.356 5.356
angles: 90.00 90.00 90.00
Space group Pm-3m (No. 221)
Asymmetric unit:
Dy (0.000, 0.000, 0.000) x1
Er (0.000, 0.500, 0.500) x3
Rh (0.500, 0.500, 0.500) x1

DFT (PBE) results for an optimized crystal structure of TiCrB2.

The density of states at the Fermi level comes out at 4.28 states/eV per cell. Its total magnetic moment is 0.00 μB/f.u. For the density, the calculation gives 4.90 Mg/m³. The calculation puts the total energy at -64.99 eV per cell. Its formation energy is -39.1 kJ per mole of atoms.

abc: 7.041 2.960 4.343
angles: 90.00 114.46 90.00
Space group C2/m (No. 12)
Asymmetric unit:
Ti (0.000, 0.000, 0.000) x2
Cr (0.000, 0.500, 0.500) x2
B (0.235, 0.000, 0.599) x4